VASP calculation (GGA-PBE) on crystalline K3ZrU2Te6 at its relaxed geometry.

Calculated values
* volume: 34.9 Å³/atom
* total moment: 7.01 μB per cell
* E_form (uncorrected): -0.887 eV/atom

Cell lengths 7.592, 7.592, 8.755 Å; angles 98.33, 98.33, 120.01 degrees
Each line ends with the local moment (μB).
Fractional positions:
Te  0.930  0.609  0.790  -0.05
Te  0.070  0.391  0.210  -0.05
Te  0.609  0.930  0.790  -0.05
Te  0.251  0.251  0.789  -0.05
Te  0.391  0.070  0.210  -0.05
Te  0.749  0.749  0.211  -0.05
Zr  0.000  0.000  0.000  0.67
K  0.170  0.830  0.500  0.00
K  0.830  0.170  0.500  0.00
K  0.500  0.500  0.500  0.00
U  0.334  0.666  0.000  2.76
U  0.666  0.334  0.000  2.76